[1]
! BaAu2Br (GGA-PBE, relaxed); values from VASP
! - Total moment: 0.000 μB/f.u.
! - E above lowest polymorph: 0.181 eV per atom
! - Electronic total energy: -3.2669 eV/atom
! - Formation energy (no corrections): -0.729 eV per atom
! - Volume: 28.64 Å³ per atom
&SYSTEM
  ibrav = 0, nat = 4, ntyp = 3
/
ATOMIC_SPECIES
Ba 137.33 Ba.upf
Au 196.97 Au.upf
Br 79.90 Br.upf
CELL_PARAMETERS angstrom
4.382 0.000 0.000
0.000 4.382 0.000
0.000 0.000 5.964
ATOMIC_POSITIONS crystal
Ba 0.000 0.000 0.000
Au 0.000 0.500 0.500
Au 0.500 0.000 0.500
Br 0.500 0.500 0.000

[2]
! BaAuBr6 (GGA-PBE, relaxed); values from VASP
! - Total moment: 0.000 μB/f.u.
! - Electronic total energy: -2.6957 eV/atom
! - Formation energy (no corrections): -0.791 eV per atom
! - Volume: 34.99 Å³ per atom
&SYSTEM
  ibrav = 0, nat = 8, ntyp = 3
/
ATOMIC_SPECIES
Ba 137.33 Ba.upf
Au 196.97 Au.upf
Br 79.90 Br.upf
CELL_PARAMETERS angstrom
6.609 0.000 0.000
-0.938 6.681 0.000
-1.417 -2.017 6.340
ATOMIC_POSITIONS crystal
Ba 0.000 0.000 0.000
Au 0.500 0.500 0.000
Br 0.167 0.180 0.649
Br 0.243 0.653 0.191
Br 0.478 0.749 0.785
Br 0.522 0.251 0.215
Br 0.757 0.347 0.809
Br 0.833 0.820 0.351

[3]
! Ba2Au2Br (GGA-PBE, relaxed); values from VASP
! - Total moment: 0.000 μB/f.u.
! - E above lowest polymorph: 0.072 eV per atom
! - Electronic total energy: -3.4876 eV/atom
! - Formation energy (no corrections): -1.073 eV per atom
! - Volume: 35.89 Å³ per atom
&SYSTEM
  ibrav = 0, nat = 10, ntyp = 3
/
ATOMIC_SPECIES
Ba 137.33 Ba.upf
Au 196.97 Au.upf
Br 79.90 Br.upf
CELL_PARAMETERS angstrom
9.051 0.000 0.000
0.000 9.051 0.000
0.000 0.000 4.381
ATOMIC_POSITIONS crystal
Ba 0.183 0.317 0.000
Ba 0.317 0.817 0.000
Ba 0.683 0.183 0.000
Ba 0.817 0.683 0.000
Au 0.111 0.611 0.500
Au 0.389 0.111 0.500
Au 0.611 0.889 0.500
Au 0.889 0.389 0.500
Br 0.000 0.000 0.000
Br 0.500 0.500 0.000

[4]
! BaAuBr2 (GGA-PBE, relaxed); values from VASP
! - Total moment: 0.000 μB/f.u.
! - E above lowest polymorph: 0.053 eV per atom
! - Electronic total energy: -3.2562 eV/atom
! - Formation energy (no corrections): -1.120 eV per atom
! - Volume: 32.72 Å³ per atom
&SYSTEM
  ibrav = 0, nat = 4, ntyp = 3
/
ATOMIC_SPECIES
Ba 137.33 Ba.upf
Au 196.97 Au.upf
Br 79.90 Br.upf
CELL_PARAMETERS angstrom
6.543 -2.246 0.000
6.543 2.246 0.000
-0.017 0.000 4.453
ATOMIC_POSITIONS crystal
Ba 0.000 0.000 0.000
Au 0.815 0.815 0.498
Br 0.312 0.312 0.997
Br 0.579 0.579 0.501

[5]
! BaAu2Br (GGA-PBE, relaxed); values from VASP
! - Total moment: 0.000 μB/f.u.
! - E above lowest polymorph: 0.128 eV per atom
! - Electronic total energy: -3.3207 eV/atom
! - Formation energy (no corrections): -0.783 eV per atom
! - Volume: 31.34 Å³ per atom
&SYSTEM
  ibrav = 0, nat = 4, ntyp = 3
/
ATOMIC_SPECIES
Ba 137.33 Ba.upf
Au 196.97 Au.upf
Br 79.90 Br.upf
CELL_PARAMETERS angstrom
3.985 0.000 0.000
0.000 3.985 0.000
0.000 0.000 7.896
ATOMIC_POSITIONS crystal
Ba 0.000 0.000 0.000
Au 0.000 0.000 0.624
Au 0.500 0.500 0.667
Br 0.500 0.500 0.201

[6]
! Ba7Au3Br (GGA-PBE, relaxed); values from VASP
! - Total moment: 0.000 μB/f.u.
! - Electronic total energy: -2.9109 eV/atom
! - Formation energy (no corrections): -0.641 eV per atom
! - Volume: 45.86 Å³ per atom
&SYSTEM
  ibrav = 0, nat = 11, ntyp = 3
/
ATOMIC_SPECIES
Ba 137.33 Ba.upf
Au 196.97 Au.upf
Br 79.90 Br.upf
CELL_PARAMETERS angstrom
4.909 -6.598 0.000
4.909 6.598 0.000
-3.354 0.000 7.786
ATOMIC_POSITIONS crystal
Ba 0.000 0.000 0.000
Ba 0.036 0.503 0.949
Ba 0.099 0.766 0.469
Ba 0.342 0.342 0.493
Ba 0.503 0.036 0.949
Ba 0.552 0.552 0.120
Ba 0.766 0.099 0.469
Au 0.198 0.198 0.774
Au 0.334 0.903 0.225
Au 0.903 0.334 0.225
Br 0.712 0.712 0.572

[7]
! BaAuBr2 (GGA-PBE, relaxed); values from VASP
! - Total moment: 0.000 μB/f.u.
! - E above lowest polymorph: 0.103 eV per atom
! - Electronic total energy: -3.2066 eV/atom
! - Formation energy (no corrections): -1.070 eV per atom
! - Volume: 29.40 Å³ per atom
&SYSTEM
  ibrav = 0, nat = 4, ntyp = 3
/
ATOMIC_SPECIES
Ba 137.33 Ba.upf
Au 196.97 Au.upf
Br 79.90 Br.upf
CELL_PARAMETERS angstrom
5.198 0.000 0.000
0.000 5.198 0.000
0.000 0.000 4.352
ATOMIC_POSITIONS crystal
Ba 0.000 0.000 0.000
Au 0.500 0.500 0.000
Br 0.000 0.500 0.500
Br 0.500 0.000 0.500

[8]
! Ba2AuBr (GGA-PBE, relaxed); values from VASP
! - Total moment: 0.000 μB/f.u.
! - E above lowest polymorph: 0.130 eV per atom
! - Electronic total energy: -3.2665 eV/atom
! - Formation energy (no corrections): -1.068 eV per atom
! - Volume: 36.60 Å³ per atom
&SYSTEM
  ibrav = 0, nat = 4, ntyp = 3
/
ATOMIC_SPECIES
Ba 137.33 Ba.upf
Au 196.97 Au.upf
Br 79.90 Br.upf
CELL_PARAMETERS angstrom
5.234 0.000 0.000
0.000 2.129 6.569
0.000 -2.129 6.569
ATOMIC_POSITIONS crystal
Ba 0.000 0.000 0.000
Ba 0.500 0.246 0.246
Au 0.500 0.511 0.511
Br 0.000 0.742 0.742